TmBS3: relaxed, PBE.

```
TmBS3
1.0
5.783 0.000 0.000
0.000 7.680 0.000
0.000 0.000 9.954
B S Tm
4 12 4
direct
0.485 0.634 0.750 B
0.015 0.134 0.750 B
0.985 0.866 0.250 B
0.515 0.366 0.250 B
0.367 0.315 0.408 S
0.133 0.815 0.408 S
0.633 0.685 0.908 S
0.867 0.185 0.592 S
0.867 0.185 0.908 S
0.803 0.454 0.250 S
0.133 0.815 0.092 S
0.197 0.546 0.750 S
0.697 0.954 0.250 S
0.633 0.685 0.592 S
0.303 0.046 0.750 S
0.367 0.315 0.092 S
0.000 0.500 0.000 Tm
0.000 0.500 0.500 Tm
0.500 0.000 0.000 Tm
0.500 0.000 0.500 Tm
```

Calculated values
**Crystal system**: orthorhombic
**Energy**: -5.84 eV/atom
**Formation energy (no corrections)**: -5.7 eV per formula unit

---

Tm6BS5: relaxed, PBE.

```
Tm6BS5
1.0
-6.270 -0.141 2.192
4.639 -3.658 3.040
1.787 6.050 2.117
S Tm B
5 6 1
direct
0.334 0.666 0.000 S
0.828 0.172 0.500 S
0.666 0.334 0.000 S
0.172 0.828 0.500 S
0.500 0.500 0.500 S
0.230 0.230 0.765 Tm
0.612 0.923 0.766 Tm
0.388 0.077 0.234 Tm
0.923 0.612 0.766 Tm
0.077 0.388 0.234 Tm
0.770 0.770 0.235 Tm
0.000 0.000 0.000 B
```

Calculated values
**Crystal system**: monoclinic
**Energy**: -6.27 eV/atom
**Formation energy (no corrections)**: -21.1 eV per formula unit

---

Tm3BS6: relaxed, PBE.

```
Tm3BS6
1.0
-5.618 -1.014 -2.390
0.935 -8.159 1.263
-3.478 2.449 7.137
Tm S B
6 12 2
direct
0.986 0.716 0.919 Tm
0.486 0.284 0.081 Tm
0.887 0.600 0.400 Tm
0.486 0.919 0.716 Tm
0.387 0.400 0.600 Tm
0.986 0.081 0.284 Tm
0.687 0.306 0.369 S
0.651 0.946 0.054 S
0.151 0.054 0.946 S
0.673 0.592 0.108 S
0.220 0.792 0.208 S
0.187 0.369 0.306 S
0.673 0.892 0.408 S
0.173 0.108 0.592 S
0.687 0.631 0.694 S
0.173 0.408 0.892 S
0.720 0.208 0.792 S
0.187 0.694 0.631 S
0.535 0.804 0.196 B
0.035 0.196 0.804 B
```

Calculated values
**Crystal system**: orthorhombic
**Energy**: -6.10 eV/atom
**Formation energy (no corrections)**: -16.1 eV per formula unit

---

Tm2BS: relaxed, PBE.

```
Tm2BS
1.0
3.551 0.000 0.000
0.000 3.831 -0.680
0.000 -0.068 10.741
Tm B S
4 2 2
direct
0.250 0.062 0.125 Tm
0.250 0.317 0.634 Tm
0.750 0.683 0.366 Tm
0.750 0.938 0.875 Tm
0.750 0.522 0.044 B
0.250 0.478 0.956 B
0.750 0.810 0.620 S
0.250 0.190 0.380 S
```

Calculated values
**Crystal system**: orthorhombic
**Energy**: -6.02 eV/atom
**Formation energy (no corrections)**: -4.4 eV per formula unit